# 1
Crystalline Hg2GeIrAu at its relaxed geometry. Source: Alexandria, functional GGA-PBE.

abc: 5.1599 5.1599 5.1285
angles: 90.00 90.00 90.00
Last column: nearest neighbours and their distance in Å.
Sites, in units of the cell vectors:
Hg 0.0000 0.5000 0.0000  2 Ir 2.58
Hg 0.5000 0.0000 0.0000  2 Ir 2.58
Ge 0.0000 0.0000 0.5000  8 Hg 3.64, 4 Au 3.65
Ir 0.5000 0.5000 0.0000  2 Au 2.56, 4 Hg 2.58
Au 0.5000 0.5000 0.5000  2 Ir 2.56

The symmetry is No. 123.



# 2
Crystalline Er3Zn2Ni7 at its relaxed geometry. Source: Alexandria, functional GGA-PBE.

abc: 8.4771 8.4771 8.4771
angles: 34.90 34.90 34.90
Last column: nearest neighbours and their distance in Å.
Sites, in units of the cell vectors:
Er 0.0000 0.0000 0.0000  6 Zn 2.93, 12 Ni 3.23
Er 0.1393 0.1393 0.1393  12 Ni 2.87-3.01
Er 0.8607 0.8607 0.8607  12 Ni 2.87-3.01
Zn 0.3334 0.3334 0.3334  6 Ni 2.48
Zn 0.6666 0.6666 0.6666  6 Ni 2.48
Ni 0.0826 0.5842 0.5842  5 Ni 2.47-2.55, 2 Zn 2.48
Ni 0.4158 0.4158 0.9174  5 Ni 2.47-2.55, 2 Zn 2.48
Ni 0.4158 0.9174 0.4158  5 Ni 2.47-2.55, 2 Zn 2.48
Ni 0.5000 0.5000 0.5000  6 Ni 2.47
Ni 0.5842 0.0826 0.5842  5 Ni 2.47-2.55, 2 Zn 2.48
Ni 0.5842 0.5842 0.0826  5 Ni 2.47-2.55, 2 Zn 2.48
Ni 0.9174 0.4158 0.4158  5 Ni 2.47-2.55, 2 Zn 2.48

The symmetry is No. 166.



# 3
Crystalline MoOsPt4 at its relaxed geometry. Source: Alexandria, functional GGA-PBE.

abc: 5.1631 5.1631 5.1631
angles: 60.00 60.00 60.00
Last column: nearest neighbours and their distance in Å.
Sites, in units of the cell vectors:
Mo 0.0000 0.0000 0.0000  12 Pt 3.03, 4 Os 3.16
Os 0.7500 0.7500 0.7500  12 Pt 3.03, 4 Mo 3.16
Pt 0.3750 0.3750 0.3750  6 Pt 2.58
Pt 0.3750 0.3750 0.8749  6 Pt 2.58
Pt 0.3750 0.8749 0.3750  6 Pt 2.58
Pt 0.8749 0.3750 0.3750  6 Pt 2.58

The symmetry is No. 216.



no.,V (Å³ per atom),E (eV/atom)
1,27.3,-2.66
2,14.8,-5.19
3,16.2,-7.28